Li2TbDyS4 | PBE | optimized geometry

Lattice parameters (Å, degrees): 6.5758 3.9246 6.7948 90.00 110.12 90.00
Positions (direct):
Li 0.0000 0.0000 0.0000
Li 0.0000 0.5000 0.5000
Tb 0.5000 0.0000 0.5000
Dy 0.5000 0.5000 0.0000
S 0.2493 0.0000 0.7510
S 0.2488 0.5000 0.2487
S 0.7507 0.0000 0.2490
S 0.7512 0.5000 0.7513

## Properties
total DFT energy (no corrections): -44.35 eV/f.u.
magnetic moment: 0.0 μB per cell
ΔE_f (raw): -1847 meV per atom
space group: P2/m (10)
DOS at the Fermi energy: 0.0 states/eV/cell